NaFeAgF2 PBE+U relaxed; E = -3.129 eV per atom
1.0
4.554 0.000 0.000
0.000 5.280 0.000
0.000 0.000 4.554
Na Fe Ag F
1 1 1 2
Direct
0.000 0.500 0.000
0.500 0.500 0.500
0.000 0.000 0.000
0.000 0.000 0.500
0.500 0.000 0.000